(1)
PmSb2BrO4 after structural relaxation. Source: the Alexandria database, functional GGA-PBE.

abc: 3.8694 3.8694 9.2213
angles: 90.00 90.00 90.00
Space group P4/mmm (No. 123)
Symmetry-distinct sites (fractional):
Pm1 0.0000 0.0000 0.0000 [1 per cell]
Sb1 0.5000 0.5000 0.2722 [2 per cell]
Br1 0.0000 0.0000 0.5000 [1 per cell]
O1 0.0000 0.5000 0.1603 [4 per cell]



(2)
PmSe2BrO6 after structural relaxation. Source: the Alexandria database, functional GGA-PBE.

abc: 10.2888 9.5388 8.4474
angles: 90.00 115.64 90.00
Space group C2/c (No. 15)
Symmetry-distinct sites (fractional):
Pm1 0.0000 0.0424 0.2500 [4 per cell]
Se1 0.2494 0.3447 0.2699 [8 per cell]
Br1 0.0000 0.4265 0.2500 [4 per cell]
O1 0.0897 0.1125 0.5549 [8 per cell]
O2 0.2035 0.1174 0.8927 [8 per cell]
O3 0.2158 0.1730 0.2784 [8 per cell]



(3)
Pm2SmBrO4 after structural relaxation. Source: the Alexandria database, functional GGA-PBE.

abc: 4.0224 4.0224 9.3878
angles: 90.00 90.00 90.00
Space group P4/mmm (No. 123)
Symmetry-distinct sites (fractional):
Pm1 0.0000 0.0000 0.2423 [2 per cell]
Sm1 0.5000 0.5000 0.5000 [1 per cell]
Br1 0.5000 0.5000 0.0000 [1 per cell]
O1 0.0000 0.5000 0.3481 [4 per cell]

Density of states at the Fermi level   0.000 states/eV/atom



(4)
PmTaBrO4 after structural relaxation. Source: the Alexandria database, functional GGA-PBE.

abc: 12.6247 6.6252 7.1160
angles: 90.00 104.37 90.00
Space group C2/m (No. 12)
Symmetry-distinct sites (fractional):
Pm1 0.2096 0.0000 0.3376 [4 per cell]
Ta1 0.1251 0.0000 0.7487 [4 per cell]
Br1 0.0122 0.5000 0.1658 [4 per cell]
O1 0.0259 0.0000 0.2968 [4 per cell]
O2 0.1801 0.2148 0.6249 [8 per cell]
O3 0.1874 0.0000 0.0122 [4 per cell]



(5)
PmUBrO4 after structural relaxation. Source: the Alexandria database, functional GGA-PBE.

abc: 12.2627 7.1997 6.8827
angles: 90.00 111.47 90.00
Space group C2/m (No. 12)
Symmetry-distinct sites (fractional):
Pm1 0.2283 0.0000 0.0935 [4 per cell]
U1 0.1241 0.5000 0.2355 [4 per cell]
Br1 0.0304 0.0000 0.2650 [4 per cell]
O1 0.0688 0.5000 0.9016 [4 per cell]
O2 0.1630 0.5000 0.5298 [4 per cell]
O3 0.2341 0.3116 0.1851 [8 per cell]



(6)
Pm3UBr2O6 after structural relaxation. Source: the Alexandria database, functional GGA-PBE.

abc: 12.4453 6.9294 5.7988
angles: 90.00 103.00 90.00
Space group C2/m (No. 12)
Symmetry-distinct sites (fractional):
Pm1 0.0000 0.0000 0.0000 [2 per cell]
Pm2 0.2500 0.2500 0.5000 [4 per cell]
U1 0.0000 0.5000 0.5000 [2 per cell]
Br1 0.2098 0.0000 0.8667 [4 per cell]
O1 0.0620 0.2551 0.2989 [8 per cell]
O2 0.1703 0.5000 0.6534 [4 per cell]

Density of states at the Fermi level   0.148 states/eV/atom



Per-record E_form (uncorrected), eV per atom: -1.935; -1.294; -3.134; -2.608; -2.825; -2.773